The following is a PBEsol calculation of an optimized crystal structure of CrInHg2, from Alexandria via LeMat-Bulk.

Unit cell a=3.245 b=3.245 c=9.311 alpha=79.96 beta=79.96 gamma=60.00
Last column: magnetic moment on the atom in μB.
Positions (direct):
Cr1 0.251 0.251 0.247  3.55
Hg1 0.994 0.994 0.019  0.02
Hg2 0.749 0.749 0.753  0.01
In1 0.506 0.506 0.481  -0.03

Computed properties:
- symmetry = R3m (160)
- DOS(E_F) (states/eV/atom) = 0.508
- E_tot (eV per atom) = -3.25
- ΔE_f (eV per atom) = 0.336

The following is a PBEsol calculation of an optimized crystal structure of CrIn2Hg, from Alexandria via LeMat-Bulk.

Unit cell a=4.192 b=4.351 c=4.351 alpha=90.00 beta=90.00 gamma=90.00
Last column: magnetic moment on the atom in μB.
Positions (direct):
Cr1 0.500 0.500 0.500  3.37
Hg1 0.500 0.000 0.000  -0.04
In1 0.000 0.000 0.500  -0.07
In2 0.000 0.500 0.000  -0.07

Computed properties:
- symmetry = P4/mmm (123)
- DOS(E_F) (states/eV/atom) = 0.507
- E_tot (eV per atom) = -3.90
- ΔE_f (eV per atom) = 0.289

The following is a PBEsol calculation of an optimized crystal structure of CrHgIrO2, from Alexandria via LeMat-Bulk.

Unit cell a=3.752 b=3.752 c=6.178 alpha=90.00 beta=90.00 gamma=90.00
Last column: magnetic moment on the atom in μB.
Positions (direct):
Cr1 0.500 0.500 0.500  3.98
Ir1 0.000 0.000 0.000  0.05
Hg1 0.000 0.000 0.500  0.10
O1 0.000 0.500 0.000  0.01
O2 0.500 0.000 0.000  0.01

Computed properties:
- symmetry = P4/mmm (123)
- DOS(E_F) (states/eV/atom) = 0.538
- E_form (uncorrected) (eV per atom) = 0.206
- E_tot (eV per atom) = -6.02

The following is a PBEsol calculation of an optimized crystal structure of CrHgIrPt2, from Alexandria via LeMat-Bulk.

Unit cell a=4.412 b=4.412 c=4.791 alpha=90.00 beta=90.00 gamma=90.00
Positions (direct):
Cr1 0.000 0.000 0.000
Ir1 0.500 0.500 0.500
Hg1 0.000 0.000 0.500
Pt1 0.000 0.500 0.000
Pt2 0.500 0.000 0.000

Computed properties:
- symmetry = P4/mmm (123)
- DOS(E_F) (states/eV/atom) = 1.355
- E_tot (eV per atom) = -5.33
- ΔE_f (eV per atom) = 1.578

The following is a PBEsol calculation of an optimized crystal structure of CrHg2IrW, from Alexandria via LeMat-Bulk.

Unit cell a=4.350 b=4.842 c=4.842 alpha=90.00 beta=90.00 gamma=90.00
Last column: magnetic moment on the atom in μB.
Positions (direct):
Cr1 0.000 0.000 0.000  2.14
Ir1 0.500 0.000 0.000  -0.03
Hg1 0.000 0.000 0.500  0.04
Hg2 0.000 0.500 0.000  0.04
W1 0.500 0.500 0.500  2.09

Computed properties:
- symmetry = P4/mmm (123)
- DOS(E_F) (states/eV/atom) = 0.937
- E_tot (eV per atom) = -5.09
- ΔE_f (eV per atom) = 1.909

The following is a PBEsol calculation of an optimized crystal structure of KCr2Hg, from Alexandria via LeMat-Bulk.

Unit cell a=2.995 b=5.591 c=6.090 alpha=117.32 beta=104.23 gamma=90.00
Last column: magnetic moment on the atom in μB.
Positions (direct):
Cr1 0.942 0.942 0.884  -3.01
Cr2 0.276 0.776 0.553  3.01
Hg1 0.539 0.539 0.079  0.01
K1 0.742 0.242 0.485  0.02

Computed properties:
- symmetry = Imm2 (44)
- DOS(E_F) (states/eV/atom) = 0.435
- E_tot (eV per atom) = -4.66
- ΔE_f (eV per atom) = 0.882

The following is a PBEsol calculation of an optimized crystal structure of KCr2Hg, from Alexandria via LeMat-Bulk.

Unit cell a=5.133 b=5.133 c=5.133 alpha=60.00 beta=60.00 gamma=60.00
Last column: magnetic moment on the atom in μB.
Positions (direct):
Cr1 0.000 0.000 0.000  4.12
Cr2 0.750 0.750 0.750  4.01
Hg1 0.500 0.500 0.500  0.03
K1 0.250 0.250 0.250  0.04

Computed properties:
- symmetry = F-43m (216)
- DOS(E_F) (states/eV/atom) = 0.590
- E_tot (eV per atom) = -4.35
- ΔE_f (eV per atom) = 1.193

The following is a PBEsol calculation of an optimized crystal structure of LaCrHg, from Alexandria via LeMat-Bulk.

Unit cell a=4.758 b=4.758 c=4.758 alpha=60.00 beta=60.00 gamma=60.00
Last column: magnetic moment on the atom in μB.
Positions (direct):
Cr1 0.250 0.250 0.250  3.43
Hg1 0.000 0.000 0.000  -0.05
La1 0.500 0.500 0.500  0.07

Computed properties:
- symmetry = F-43m (216)
- DOS(E_F) (states/eV/atom) = 0.609
- E_tot (eV per atom) = -5.06
- ΔE_f (eV per atom) = 0.323

The following is a PBEsol calculation of an optimized crystal structure of LaCrHg, from Alexandria via LeMat-Bulk.

Unit cell a=3.484 b=3.494 c=6.214 alpha=106.33 beta=106.28 gamma=90.00
Last column: magnetic moment on the atom in μB.
Positions (direct):
Cr1 0.020 0.020 0.040  3.44
Hg1 0.639 0.639 0.278  -0.01
La1 0.341 0.341 0.682  -0.16

Computed properties:
- symmetry = I4mm (107)
- DOS(E_F) (states/eV/atom) = 0.962
- E_tot (eV per atom) = -5.17
- ΔE_f (eV per atom) = 0.215

The following is a PBEsol calculation of an optimized crystal structure of LaCrHg, from Alexandria via LeMat-Bulk.

Unit cell a=4.984 b=4.984 c=4.984 alpha=60.00 beta=60.00 gamma=60.00
Last column: magnetic moment on the atom in μB.
Positions (direct):
Cr1 0.000 0.000 0.000  3.79
Hg1 0.500 0.500 0.500  -0.06
La1 0.250 0.250 0.250  -0.02

Computed properties:
- symmetry = F-43m (216)
- DOS(E_F) (states/eV/atom) = 1.061
- E_tot (eV per atom) = -4.65
- ΔE_f (eV per atom) = 0.740

The following is a PBEsol calculation of an optimized crystal structure of LiCr2Hg, from Alexandria via LeMat-Bulk.

Unit cell a=3.017 b=3.017 c=6.351 alpha=90.00 beta=90.00 gamma=90.00
Last column: magnetic moment on the atom in μB.
Positions (direct):
Cr1 0.000 0.000 0.034  -2.05
Cr2 0.500 0.500 0.198  2.01
Hg1 0.000 0.000 0.508  0.01
Li1 0.500 0.500 0.760  0.00

Computed properties:
- symmetry = P4mm (99)
- DOS(E_F) (states/eV/atom) = 0.549
- E_tot (eV per atom) = -5.50
- ΔE_f (eV per atom) = 0.255

The following is a PBEsol calculation of an optimized crystal structure of LiCr2Hg, from Alexandria via LeMat-Bulk.

Unit cell a=3.416 b=3.416 c=4.443 alpha=90.00 beta=90.00 gamma=90.00
Positions (direct):
Cr1 0.000 0.500 0.000
Cr2 0.500 0.000 0.000
Hg1 0.500 0.500 0.500
Li1 0.000 0.000 0.500

Computed properties:
- symmetry = P4/mmm (123)
- DOS(E_F) (states/eV/atom) = 0.476
- E_tot (eV per atom) = -5.36
- ΔE_f (eV per atom) = 0.398

The following is a PBEsol calculation of an optimized crystal structure of Li2CrHg, from Alexandria via LeMat-Bulk.

Unit cell a=3.002 b=3.002 c=9.370 alpha=80.78 beta=80.78 gamma=60.00
Last column: magnetic moment on the atom in μB.
Positions (direct):
Cr1 0.500 0.500 0.500  3.67
Hg1 0.000 0.000 0.000  0.00
Li1 0.251 0.251 0.248  -0.01
Li2 0.749 0.749 0.752  -0.01

Computed properties:
- symmetry = R-3m (166)
- DOS(E_F) (states/eV/atom) = 0.513
- E_tot (eV per atom) = -3.35
- ΔE_f (eV per atom) = 0.338

The following is a PBEsol calculation of an optimized crystal structure of LiCr2Hg, from Alexandria via LeMat-Bulk.

Unit cell a=2.594 b=4.728 c=5.020 alpha=118.09 beta=90.00 gamma=90.00
Positions (direct):
Cr1 0.000 0.000 0.500
Cr2 0.000 0.500 0.500
Hg1 0.500 0.000 0.000
Li1 0.500 0.500 0.000

Computed properties:
- symmetry = Cmmm (65)
- DOS(E_F) (states/eV/atom) = 0.664
- E_tot (eV per atom) = -5.16
- ΔE_f (eV per atom) = 0.594

The following is a PBEsol calculation of an optimized crystal structure of MgCr2Hg, from Alexandria via LeMat-Bulk.

Unit cell a=4.598 b=4.598 c=4.598 alpha=60.00 beta=60.00 gamma=60.00
Last column: magnetic moment on the atom in μB.
Positions (direct):
Cr1 0.750 0.750 0.750  3.44
Cr2 0.250 0.250 0.250  3.44
Hg1 0.000 0.000 0.000  -0.02
Mg1 0.500 0.500 0.500  -0.01

Computed properties:
- symmetry = Fm-3m (225)
- DOS(E_F) (states/eV/atom) = 0.321
- E_tot (eV per atom) = -5.13
- ΔE_f (eV per atom) = 0.561

The following is a PBEsol calculation of an optimized crystal structure of MgCrHg4, from Alexandria via LeMat-Bulk.

Unit cell a=5.694 b=5.694 c=5.694 alpha=60.00 beta=60.00 gamma=60.00
Last column: magnetic moment on the atom in μB.
Positions (direct):
Cr1 0.000 0.000 0.000  3.93
Hg1 0.375 0.375 0.375  -0.03
Hg2 0.375 0.375 0.876  -0.03
Hg3 0.876 0.375 0.375  -0.03
Hg4 0.375 0.876 0.375  -0.03
Mg1 0.750 0.750 0.750  -0.02

Computed properties:
- symmetry = F-43m (216)
- DOS(E_F) (states/eV/atom) = 0.247
- E_tot (eV per atom) = -2.04
- ΔE_f (eV per atom) = 0.334

The following is a PBEsol calculation of an optimized crystal structure of MgCr3Hg, from Alexandria via LeMat-Bulk.

Unit cell a=4.858 b=4.858 c=4.858 alpha=90.00 beta=90.00 gamma=90.00
Last column: magnetic moment on the atom in μB.
Positions (direct):
Cr1 0.000 0.500 0.000  3.81
Cr2 0.000 0.000 0.500  3.81
Cr3 0.500 0.000 0.000  3.81
Mg1 0.000 0.000 0.000  0.02
Hg1 0.500 0.500 0.500  -0.02

Computed properties:
- symmetry = Pm-3m (221)
- DOS(E_F) (states/eV/atom) = 0.859
- E_tot (eV per atom) = -4.77
- ΔE_f (eV per atom) = 1.829

The following is a PBEsol calculation of an optimized crystal structure of MgCrHg, from Alexandria via LeMat-Bulk.

Unit cell a=3.529 b=3.529 c=5.147 alpha=110.05 beta=110.05 gamma=90.00
Last column: magnetic moment on the atom in μB.
Positions (direct):
Cr1 0.003 0.003 0.006  3.75
Hg1 0.665 0.665 0.329  0.03
Mg1 0.332 0.332 0.665  0.00

Computed properties:
- symmetry = I4mm (107)
- DOS(E_F) (states/eV/atom) = 0.462
- E_tot (eV per atom) = -3.88
- ΔE_f (eV per atom) = 0.293

The following is a PBEsol calculation of an optimized crystal structure of MgCr2Hg, from Alexandria via LeMat-Bulk.

Unit cell a=2.667 b=5.149 c=5.152 alpha=60.02 beta=83.32 gamma=76.53
Positions (direct):
Cr1 0.000 0.500 0.500
Cr2 0.000 0.000 0.500
Hg1 0.500 0.000 0.000
Mg1 0.500 0.500 0.000

Computed properties:
- symmetry = C2/m (12)
- DOS(E_F) (states/eV/atom) = 0.857
- E_tot (eV per atom) = -5.03
- ΔE_f (eV per atom) = 0.666

The following is a PBEsol calculation of an optimized crystal structure of Mn2CrHg, from Alexandria via LeMat-Bulk.

Unit cell a=2.858 b=2.858 c=8.282 alpha=80.07 beta=80.07 gamma=60.00
Last column: magnetic moment on the atom in μB.
Positions (direct):
Cr1 0.500 0.500 0.500  -1.54
Hg1 0.000 0.000 0.000  -0.03
Mn1 0.238 0.238 0.287  2.70
Mn2 0.762 0.762 0.713  2.70

Computed properties:
- symmetry = R-3m (166)
- DOS(E_F) (states/eV/atom) = 1.162
- E_tot (eV per atom) = -7.10
- ΔE_f (eV per atom) = 0.480